A geometry-optimized Cu2Tc structure. Source: the Alexandria database, functional GGA-PBE.

Computed properties:
VASP energy = -6.03 eV/atom
Space-group type = Cmcm
Energy of formation from the pure elements = 154 meV per atom
Excess energy over the best structure of this formula in the dataset = 0.000 eV/atom

Unit cell a=7.0672 b=7.0672 c=4.2301 alpha=90.00 beta=90.00 gamma=158.23
Element x y z (fractional)
Cu (0.9439, 0.0561, 0.7500)
Cu (0.0561, 0.9439, 0.2500)
Cu (0.3970, 0.6030, 0.2500)
Cu (0.6030, 0.3970, 0.7500)
Tc (0.2787, 0.7213, 0.7500)
Tc (0.7213, 0.2787, 0.2500)